No. 1
PrHoPt2 | the Open Quantum Materials Database | PBE | optimized geometry; energy above the most stable polymorph in this dataset = 0.00 eV/f.u.; theoretical density = 12.4 Mg/m³
1.0
4.572 0.000 0.000
0.000 7.228 0.000
0.000 0.000 5.634
Pt Pr Ho
4 2 2
Direct
0.000 0.276 0.156
0.000 0.812 0.345
0.500 0.724 0.656
0.500 0.188 0.845
0.500 0.570 0.140
0.000 0.430 0.640
0.500 0.066 0.359
0.000 0.934 0.859

No. 2
PrHoPt2 | the Open Quantum Materials Database | PBE | optimized geometry; energy above the most stable polymorph in this dataset = 0.05 eV/f.u.; theoretical density = 12.4 Mg/m³
1.0
5.665 0.000 0.000
0.000 4.576 0.000
-0.213 0.000 7.195
Pt Ho Pr
4 2 2
Direct
0.165 0.750 0.464
0.835 0.250 0.536
0.646 0.250 0.052
0.354 0.750 0.948
0.639 0.750 0.320
0.361 0.250 0.680
0.858 0.750 0.814
0.142 0.250 0.186

No. 3
PrHoPt2 | the Open Quantum Materials Database | PBE | optimized geometry; energy above the most stable polymorph in this dataset = 0.07 eV/f.u.; theoretical density = 12.4 Mg/m³
1.0
4.575 0.000 0.000
0.000 5.654 0.000
0.000 0.000 7.220
Pt Pr Ho
4 2 2
Direct
0.000 0.101 0.457
0.500 0.408 0.545
0.000 0.899 0.957
0.500 0.592 0.045
0.500 0.110 0.181
0.500 0.890 0.681
0.000 0.609 0.317
0.000 0.391 0.817

No. 4
PrHo3Pt4 | the Open Quantum Materials Database | PBE | optimized geometry; theoretical density = 13.1 Mg/m³
1.0
5.591 0.000 0.000
0.000 4.532 0.000
-0.093 0.000 7.096
Ho Pr Pt
3 1 4
Direct
0.360 0.000 0.181
0.640 0.500 0.821
0.858 0.500 0.315
0.142 0.000 0.683
0.654 0.000 0.538
0.158 0.500 0.971
0.351 0.500 0.442
0.838 0.000 0.050

Number 1: ΔH_f (0 K) -1.21 eV/atom. Number 2: ΔH_f (0 K) -1.20 eV/atom. Number 3: ΔH_f (0 K) -1.19 eV/atom. Number 4: ΔH_f (0 K) -1.25 eV/atom.